Here is an optimized crystal structure of AlZnW2O from the Alexandria database. Energies are from PBE with a Hubbard U.

POSCAR file:
```
AlZnW2O
1.0
4.982 0.000 0.000
0.000 4.982 0.000
0.000 0.000 4.561
Al Zn W O
1 1 2 1
Cartesian
0.000 0.000 0.000 Al
0.000 0.000 2.280 Zn
0.000 2.491 0.000 W
2.491 0.000 0.000 W
2.491 2.491 2.280 O
```

Summary:
**Density**: 6.98 Mg/m³
**Symmetry**: P4/mmm, No. 123
**Crystal system**: tetragonal
**Final energy**: -3.031 eV/atom